VASP calculation (PBE) on a geometry-optimized BaNa3Ir structure.

```
5
Lattice="5.734 0.000 0.000 0.000 5.734 0.000 0.000 0.000 5.734" Properties=species:S:1:pos:R:3 pbc="T T T"
Ba 0.000 0.000 0.000
Na 0.000 0.000 2.867
Na 0.000 2.867 0.000
Na 2.867 0.000 0.000
Ir 2.867 2.867 2.867
```

* magnetic moment: 0.0001 μB/atom
* relative energy among the computed polymorphs: 1280 meV per atom
* raw total energy: -0.08685 Ry per atom
* crystal system: cubic
* Fermi-level density of states: 0.79 states/eV/atom